#1
Material: PmBeIr
Method: DFT, PBE
State: relaxed

a b c (Å): 5.8410 5.7845 7.1333
angles (deg): 90.00 113.77 90.00
Positions (direct):
Be 0.5864 0.4085 0.1802
Be 0.4136 0.5915 0.8198
Be 0.0864 0.0915 0.6802
Be 0.9136 0.9085 0.3198
Ir 0.1878 0.3516 0.9481
Ir 0.8122 0.6484 0.0519
Ir 0.3122 0.8516 0.5519
Ir 0.6878 0.1484 0.4481
Pm 0.3253 0.8758 0.1249
Pm 0.8253 0.6242 0.6249
Pm 0.6747 0.1242 0.8751
Pm 0.1747 0.3758 0.3751

Summary:
Fermi-level density of states: 7.02 states/eV/cell
size of the total moment: 0.00 μB/f.u.
space group: No. 14

***

#2
Material: PmBeIr
Method: DFT, PBE
State: relaxed

a b c (Å): 3.1324 3.1324 5.7090
angles (deg): 105.92 105.92 90.00
Positions (direct):
Be 0.2378 0.2378 0.4756
Ir 0.6605 0.6605 0.3210
Pm 0.9517 0.9517 0.9034

Summary:
Fermi-level density of states: 1.88 states/eV/cell
size of the total moment: 0.00 μB/f.u.
space group: No. 107

***

Which is most stable? The ranking, best first, is #1, #2.

***

#1
Material: PmBeIr
Method: DFT, PBE
State: relaxed

a b c (Å): 5.2061 5.1970 5.1970
angles (deg): 65.15 59.94 59.94
Positions (direct):
Pm 0.8719 0.3781 0.3781
Pm 0.1281 0.6219 0.6219
Be 0.0000 0.0000 0.0000
Be 0.5000 0.0000 0.0000
Ir 0.5000 0.5000 0.0000
Ir 0.5000 0.0000 0.5000

Summary:
Fermi-level density of states: 3.39 states/eV/cell
size of the total moment: 0.00 μB/f.u.
space group: No. 74

***

#2
Material: PmBeIr
Method: DFT, PBE
State: relaxed

a b c (Å): 7.5880 5.6618 5.7199
angles (deg): 90.00 114.10 90.00
Positions (direct):
Pm 0.8804 0.6293 0.1971
Pm 0.6196 0.1293 0.8029
Pm 0.1196 0.3707 0.8029
Pm 0.3804 0.8707 0.1971
Be 0.4531 0.6391 0.7242
Be 0.0469 0.1391 0.2758
Be 0.5469 0.3609 0.2758
Be 0.9531 0.8609 0.7242
Ir 0.2101 0.8967 0.6292
Ir 0.2899 0.3967 0.3708
Ir 0.7899 0.1033 0.3708
Ir 0.7101 0.6033 0.6292

Summary:
Fermi-level density of states: 7.07 states/eV/cell
size of the total moment: 0.00 μB/f.u.
space group: No. 14

***

Which is most stable? The ranking, best first, is #2, #1.